(1)
An optimized crystal structure of Ba2LiIn3Ag12, computed with PBE.

Calculated values
DFT formation energy   0.71 eV per formula unit
E   -2.6375 eV/atom

Cell: 11.127 11.127 11.127 Å, 37.11 37.11 37.11°
Sites, in units of the cell vectors:
Ba (0.655, 0.655, 0.655)
Ba (0.345, 0.345, 0.345)
Li (0.000, 0.000, 0.000)
In (0.500, 0.000, 0.000)
In (0.000, 0.500, 0.000)
In (0.000, 0.000, 0.500)
Ag (0.422, 0.422, 0.820)
Ag (0.933, 0.933, 0.337)
Ag (0.337, 0.933, 0.933)
Ag (0.820, 0.422, 0.422)
Ag (0.933, 0.337, 0.933)
Ag (0.422, 0.820, 0.422)
Ag (0.578, 0.578, 0.180)
Ag (0.067, 0.067, 0.663)
Ag (0.663, 0.067, 0.067)
Ag (0.180, 0.578, 0.578)
Ag (0.067, 0.663, 0.067)
Ag (0.578, 0.180, 0.578)

---

(2)
An optimized crystal structure of ReSi, computed with PBE.

Calculated values
E   -9.1317 eV/atom
ΔE_f (raw)   -0.20 eV/atom

Cell: 2.971 12.641 4.393 Å, 90.00 90.00 90.00°
Sites, in units of the cell vectors:
Re (0.000, 0.331, 0.836)
Re (0.000, 0.669, 0.836)
Re (0.000, 0.831, 0.336)
Re (0.000, 0.169, 0.336)
Re (0.500, 0.000, 0.560)
Re (0.500, 0.500, 0.060)
Si (0.500, 0.832, 0.868)
Si (0.500, 0.168, 0.868)
Si (0.500, 0.332, 0.368)
Si (0.500, 0.668, 0.368)
Si (0.000, 0.000, 0.033)
Si (0.000, 0.500, 0.533)

---

(3)
An optimized crystal structure of BiN2O, computed with PBE.

Calculated values
E   -6.5390 eV/atom
ΔE_f (raw)   -0.17 eV/atom
Energy above the most stable polymorph in this dataset   0 meV/atom

Cell: 3.799 4.062 6.351 Å, 78.37 75.86 62.05°
Sites, in units of the cell vectors:
Bi (0.318, 0.780, 0.199)
N (0.946, 0.102, 0.685)
N (0.794, 0.415, 0.649)
O (0.641, 0.129, 0.205)

---

(4)
An optimized crystal structure of KInGe3, computed with PBE.

Calculated values
DFT formation energy   6.70 eV per formula unit
E   -2.1969 eV/atom
Energy above the most stable polymorph in this dataset   816 meV/atom

Cell: 5.582 5.582 5.582 Å, 90.00 90.00 90.00°
Sites, in units of the cell vectors:
Ge (0.000, 0.500, 0.000)
Ge (0.000, 0.000, 0.500)
Ge (0.500, 0.000, 0.000)
K (0.000, 0.000, 0.000)
In (0.500, 0.500, 0.500)

---

(5)
An optimized crystal structure of Nd4AlAg3, computed with PBE.

Calculated values
DFT formation energy   -2.01 eV per formula unit
E   -4.1718 eV/atom
Energy above the most stable polymorph in this dataset   27 meV/atom

Cell: 3.770 4.813 11.891 Å, 90.00 90.00 90.00°
Sites, in units of the cell vectors:
Nd (0.500, 0.500, 0.350)
Nd (0.000, 0.500, 0.849)
Nd (0.000, 0.000, 0.152)
Nd (0.500, 0.000, 0.647)
Al (0.500, 0.500, 0.072)
Ag (0.000, 0.500, 0.573)
Ag (0.000, 0.000, 0.427)
Ag (0.500, 0.000, 0.931)

---

(6)
An optimized crystal structure of TbNdGaNi, computed with PBE.

Calculated values
DFT formation energy   -1.76 eV per formula unit
E   -4.9906 eV/atom
Energy above the most stable polymorph in this dataset   0 meV/atom

Cell: 3.836 4.318 5.921 Å, 90.00 108.90 90.00°
Sites, in units of the cell vectors:
Tb (0.860, 0.500, 0.720)
Nd (0.146, 0.000, 0.291)
Ga (0.564, 0.500, 0.127)
Ni (0.431, 0.000, 0.861)

---

(7)
An optimized crystal structure of RbScSCl2, computed with PBE.

Calculated values
E   -4.8983 eV/atom
ΔE_f (raw)   -1.87 eV/atom
Energy above the most stable polymorph in this dataset   0 meV/atom

Cell: 5.193 5.193 4.933 Å, 90.00 90.00 90.00°
Sites, in units of the cell vectors:
Sc (0.000, 0.000, 0.000)
S (0.000, 0.000, 0.500)
Rb (0.500, 0.500, 0.500)
Cl (0.000, 0.500, 0.000)
Cl (0.500, 0.000, 0.000)

---

(8)
An optimized crystal structure of Ag3HgBr2F6, computed with PBE.

Calculated values
E   -2.8993 eV/atom
ΔE_f (raw)   -0.95 eV/atom

Cell: 5.440 7.210 7.215 Å, 119.97 79.71 90.00°
Sites, in units of the cell vectors:
Ag (0.000, 0.500, 0.000)
Ag (0.500, 0.500, 0.500)
Ag (0.500, 0.000, 0.500)
Hg (0.500, 0.000, 0.000)
Br (0.223, 0.686, 0.371)
Br (0.777, 0.314, 0.629)
F (0.745, 0.375, 0.189)
F (0.255, 0.625, 0.811)
F (0.712, 0.846, 0.692)
F (0.288, 0.154, 0.308)
F (0.255, 0.187, 0.811)
F (0.745, 0.813, 0.189)

---

(9)
An optimized crystal structure of CdPbF5, computed with PBE.

Calculated values
E   -4.0851 eV/atom
ΔE_f (raw)   -2.09 eV/atom

Cell: 5.997 5.997 8.105 Å, 70.76 70.76 73.02°
Sites, in units of the cell vectors:
Cd (0.000, 0.000, 0.000)
Cd (0.000, 0.000, 0.500)
Pb (0.543, 0.457, 0.250)
Pb (0.457, 0.543, 0.750)
F (0.782, 0.719, 0.133)
F (0.312, 0.670, 0.463)
F (0.719, 0.782, 0.633)
F (0.874, 0.126, 0.250)
F (0.330, 0.688, 0.037)
F (0.670, 0.312, 0.963)
F (0.126, 0.874, 0.750)
F (0.281, 0.218, 0.367)
F (0.688, 0.330, 0.537)
F (0.218, 0.281, 0.867)

---

(10)
An optimized crystal structure of Tl2Sb2S, computed with PBE.

Calculated values
E   -3.3544 eV/atom
ΔE_f (raw)   0.07 eV/atom
Energy above the most stable polymorph in this dataset   0 meV/atom

Cell: 7.428 7.428 5.333 Å, 90.00 90.00 90.00°
Sites, in units of the cell vectors:
Sb (0.354, 0.854, 0.000)
Sb (0.854, 0.646, 0.000)
Sb (0.646, 0.146, 0.000)
Sb (0.146, 0.354, 0.000)
Tl (0.176, 0.676, 0.500)
Tl (0.676, 0.824, 0.500)
Tl (0.824, 0.324, 0.500)
Tl (0.324, 0.176, 0.500)
S (0.000, 0.000, 0.000)
S (0.500, 0.500, 0.000)

---

(11)
An optimized crystal structure of AcTbSiPt, computed with PBE.

Calculated values
E   -5.7484 eV/atom
ΔE_f (raw)   -0.70 eV/atom

Cell: 5.221 5.221 5.221 Å, 60.00 60.00 60.00°
Sites, in units of the cell vectors:
Ac (0.000, 0.000, 0.000)
Tb (0.500, 0.500, 0.500)
Si (0.250, 0.250, 0.250)
Pt (0.750, 0.750, 0.750)

---

(12)
An optimized crystal structure of Li8BiSb5, computed with PBE.

Calculated values
E   -3.1889 eV/atom
ΔE_f (raw)   -0.35 eV/atom

Cell: 7.285 7.284 7.284 Å, 111.56 105.37 111.56°
Sites, in units of the cell vectors:
Li (0.135, 0.778, 0.066)
Li (0.934, 0.069, 0.712)
Li (0.713, 0.252, 0.283)
Li (0.717, 0.430, 0.969)
Li (0.538, 0.570, 0.287)
Li (0.643, 0.931, 0.865)
Li (0.288, 0.222, 0.357)
Li (0.031, 0.748, 0.462)
Bi (0.250, 0.500, 0.750)
Sb (0.105, 0.432, 0.182)
Sb (0.818, 0.923, 0.249)
Sb (0.751, 0.568, 0.673)
Sb (0.500, 0.000, 0.500)
Sb (0.327, 0.077, 0.895)

---

(13)
An optimized crystal structure of NbC3S, computed with PBE.

Calculated values
E   -5.8924 eV/atom
ΔE_f (raw)   2.48 eV/atom
Energy above the most stable polymorph in this dataset   421 meV/atom

Cell: 4.248 4.248 4.248 Å, 90.00 90.00 90.00°
Sites, in units of the cell vectors:
C (0.000, 0.500, 0.000)
C (0.000, 0.000, 0.500)
C (0.500, 0.000, 0.000)
Nb (0.000, 0.000, 0.000)
S (0.500, 0.500, 0.500)

---

(14)
An optimized crystal structure of LiYSi2, computed with PBE.

Calculated values
E   -5.0453 eV/atom
ΔE_f (raw)   -0.24 eV/atom
Energy above the most stable polymorph in this dataset   340 meV/atom

Cell: 5.023 5.023 3.132 Å, 90.00 90.00 106.86°
Sites, in units of the cell vectors:
Li (0.000, 0.500, 0.500)
Si (0.000, 0.000, 0.000)
Si (0.500, 0.500, 0.000)
Y (0.500, 0.000, 0.500)

---

(15)
An optimized crystal structure of AlAs2PBr, computed with PBE.

Calculated values
E   -3.3254 eV/atom
ΔE_f (raw)   0.70 eV/atom
Energy above the most stable polymorph in this dataset   82 meV/atom

Cell: 4.973 4.973 4.716 Å, 90.00 90.00 90.00°
Sites, in units of the cell vectors:
P (0.500, 0.500, 0.500)
As (0.000, 0.500, 0.000)
As (0.500, 0.000, 0.000)
Al (0.000, 0.000, 0.000)
Br (0.000, 0.000, 0.500)

---

(16)
An optimized crystal structure of Li8SnPb6, computed with PBE.

Calculated values
DFT formation energy   -2.79 eV per formula unit
E   -2.9571 eV/atom

Cell: 8.318 8.318 7.498 Å, 56.31 56.31 60.00°
Sites, in units of the cell vectors:
Li (0.630, 0.126, 0.315)
Li (0.874, 0.071, 0.685)
Li (0.071, 0.370, 0.685)
Li (0.730, 0.730, 0.811)
Li (0.270, 0.270, 0.189)
Li (0.929, 0.630, 0.315)
Li (0.126, 0.929, 0.315)
Li (0.370, 0.874, 0.685)
Sn (0.000, 0.000, 0.000)
Pb (0.433, 0.153, 0.777)
Pb (0.847, 0.363, 0.223)
Pb (0.363, 0.567, 0.223)
Pb (0.637, 0.433, 0.777)
Pb (0.153, 0.637, 0.777)
Pb (0.567, 0.847, 0.223)

---

(17)
An optimized crystal structure of CaAgW2, computed with PBE.

Calculated values
DFT formation energy   3.01 eV per formula unit
E   -6.9381 eV/atom
Energy above the most stable polymorph in this dataset   269 meV/atom

Cell: 5.946 5.946 2.761 Å, 79.99 79.99 124.52°
Sites, in units of the cell vectors:
Ca (0.000, 0.500, 0.500)
Ag (0.500, 0.000, 0.500)
W (0.000, 0.000, 0.000)
W (0.500, 0.500, 0.000)

---

(18)
An optimized crystal structure of Sm2Dy7Y2, computed with PBE.

Calculated values
DFT formation energy   0.85 eV per formula unit
E   -4.8846 eV/atom
Energy above the most stable polymorph in this dataset   0 meV/atom

Cell: 8.933 6.573 6.672 Å, 95.30 111.16 99.37°
Sites, in units of the cell vectors:
Sm (0.072, 0.214, 0.677)
Sm (0.928, 0.786, 0.323)
Dy (0.669, 0.893, 0.577)
Dy (0.363, 0.495, 0.119)
Dy (0.331, 0.107, 0.423)
Dy (0.637, 0.505, 0.881)
Dy (0.500, 0.000, 0.000)
Dy (0.283, 0.616, 0.566)
Dy (0.717, 0.384, 0.434)
Y (0.949, 0.253, 0.112)
Y (0.051, 0.747, 0.888)

---

(19)
An optimized crystal structure of Re2HgOs, computed with PBE.

Calculated values
DFT formation energy   3.69 eV per formula unit
E   -8.1847 eV/atom

Cell: 4.500 4.500 4.500 Å, 60.00 60.00 60.00°
Sites, in units of the cell vectors:
Hg (0.500, 0.500, 0.500)
Os (0.250, 0.250, 0.250)
Re (0.000, 0.000, 0.000)
Re (0.750, 0.750, 0.750)

---

(20)
An optimized crystal structure of Cs3TeF, computed with PBE.

Calculated values
E   -3.1985 eV/atom
ΔE_f (raw)   -1.68 eV/atom
Energy above the most stable polymorph in this dataset   0 meV/atom

Cell: 8.348 11.852 8.407 Å, 90.00 90.00 90.00°
Sites, in units of the cell vectors:
Cs (0.233, 0.984, 0.767)
Cs (0.267, 0.484, 0.267)
Cs (0.267, 0.016, 0.267)
Cs (0.767, 0.484, 0.233)
Cs (0.767, 0.016, 0.233)
Cs (0.733, 0.516, 0.733)
Cs (0.733, 0.984, 0.733)
Cs (0.233, 0.516, 0.767)
Cs (0.499, 0.250, 0.969)
Cs (0.001, 0.750, 0.469)
Cs (0.501, 0.750, 0.031)
Cs (0.999, 0.250, 0.531)
Te (0.509, 0.250, 0.499)
Te (0.991, 0.750, 0.999)
Te (0.491, 0.750, 0.501)
Te (0.009, 0.250, 0.001)
F (0.000, 0.000, 0.500)
F (0.500, 0.500, 0.000)
F (0.500, 0.000, 0.000)
F (0.000, 0.500, 0.500)

---

(21)
An optimized crystal structure of Li2Al7Zn2, computed with PBE.

Calculated values
DFT formation energy   1.46 eV per formula unit
E   -2.8289 eV/atom

Cell: 5.465 7.434 5.465 Å, 90.04 120.08 89.96°
Sites, in units of the cell vectors:
Li (0.729, 0.000, 0.271)
Li (0.271, 0.000, 0.729)
Al (0.000, 0.312, 0.500)
Al (0.500, 0.688, 0.000)
Al (0.000, 0.688, 0.500)
Al (0.500, 0.312, 0.000)
Al (0.000, 0.000, 0.000)
Al (0.500, 0.808, 0.500)
Al (0.500, 0.192, 0.500)
Zn (0.760, 0.500, 0.760)
Zn (0.240, 0.500, 0.240)

---

(22)
An optimized crystal structure of BaPrNi2H6, computed with PBE.

Calculated values
E   -4.1398 eV/atom

Cell: 6.561 6.561 6.670 Å, 106.42 106.42 87.17°
Sites, in units of the cell vectors:
Ba (0.137, 0.863, 0.250)
Ba (0.863, 0.137, 0.750)
Pr (0.627, 0.373, 0.250)
Pr (0.373, 0.627, 0.750)
Ni (0.342, 0.184, 0.787)
Ni (0.816, 0.658, 0.713)
Ni (0.658, 0.816, 0.213)
Ni (0.184, 0.342, 0.287)
H (0.957, 0.232, 0.179)
H (0.768, 0.043, 0.321)
H (0.043, 0.768, 0.821)
H (0.232, 0.957, 0.679)
H (0.267, 0.252, 0.037)
H (0.748, 0.733, 0.463)
H (0.733, 0.748, 0.963)
H (0.252, 0.267, 0.537)
H (0.342, 0.539, 0.375)
H (0.461, 0.658, 0.125)
H (0.658, 0.461, 0.625)
H (0.539, 0.342, 0.875)

---

(23)
An optimized crystal structure of Y2ZnMo, computed with PBE.

Calculated values
DFT formation energy   0.60 eV per formula unit
E   -6.1091 eV/atom

Cell: 3.494 3.494 7.719 Å, 90.00 90.00 90.00°
Sites, in units of the cell vectors:
Mo (0.500, 0.500, 0.690)
Y (0.000, 0.000, 0.935)
Y (0.500, 0.500, 0.321)
Zn (0.000, 0.000, 0.554)